VASP calculation (GGA-PBE) on crystalline NdCuB at its relaxed geometry.

As for the total moment: 0.37 Bohr magnetons per cell. The electronic total energy comes out at -57.85 eV for the cell shown.

It has space group F-43m (No. 216), with a = 5.984 Å, b = 5.984 Å, c = 5.984 Å, α = 90.00°, β = 90.00° and γ = 90.00°. The distinct sites, in fractional coordinates, are Nd at (0.000, 0.000, 0.000), Cu at (0.000, 0.000, 0.500) and B at (0.250, 0.250, 0.750).

=====

VASP calculation (GGA-PBE) on crystalline CuNi2B at its relaxed geometry.

As for the total moment: 0.01 Bohr magnetons per cell. The electronic total energy comes out at -81.71 eV for the cell shown.

It has space group F-43m (No. 216), with a = 5.397 Å, b = 5.397 Å, c = 5.397 Å, α = 90.00°, β = 90.00° and γ = 90.00°. The distinct sites, in fractional coordinates, are Cu at (0.000, 0.000, 0.000), Ni at (0.000, 0.000, 0.500), Ni at (0.250, 0.250, 0.250) and B at (0.250, 0.250, 0.750).

=====

VASP calculation (GGA-PBE) on crystalline Cu5NiB2 at its relaxed geometry.

As for the total moment: 0.00 Bohr magnetons per cell. The electronic total energy comes out at -34.06 eV for the cell shown.

It has space group P4/mmm (No. 123), with a = 3.875 Å, b = 3.875 Å, c = 5.494 Å, α = 90.00°, β = 90.00° and γ = 90.00°. The distinct sites, in fractional coordinates, are Cu at (0.000, 0.000, 0.000), Cu at (0.000, 0.500, 0.250), Ni at (0.500, 0.500, 0.500), B at (0.000, 0.000, 0.500) and B at (0.500, 0.500, 0.000).

=====

VASP calculation (GGA-PBE) on crystalline CuNiB4 at its relaxed geometry.

Its offset from the most stable computed form is 16 meV/atom. As for the total moment: 0.51 Bohr magnetons per cell. The electronic total energy comes out at -68.58 eV for the cell shown.

It has space group Immm (No. 71), with a = 2.983 Å, b = 5.158 Å, c = 6.481 Å, α = 90.00°, β = 90.00° and γ = 90.00°. The distinct sites, in fractional coordinates, are Cu at (0.000, 0.000, 0.000), Ni at (0.000, 0.000, 0.500) and B at (0.000, 0.334, 0.248).

=====

VASP calculation (GGA-PBE) on crystalline Cu2NiB6 at its relaxed geometry.

As for the total moment: 0.00 Bohr magnetons per cell. The electronic total energy comes out at -42.79 eV for the cell shown.

It has space group Pmmm (No. 47), with a = 3.726 Å, b = 3.755 Å, c = 7.846 Å, α = 90.00°, β = 90.00° and γ = 90.00°. The distinct sites, in fractional coordinates, are Cu at (0.000, 0.000, 0.244), Ni at (0.500, 0.500, 0.500), B at (0.000, 0.000, 0.000), B at (0.000, 0.000, 0.500), B at (0.000, 0.500, 0.389) and B at (0.500, 0.000, 0.390).

=====

VASP calculation (GGA-PBE) on crystalline Cu5NiB2 at its relaxed geometry.

As for the total moment: 0.00 Bohr magnetons per cell. The electronic total energy comes out at -34.06 eV for the cell shown.

It has space group P4/mmm (No. 123), with a = 3.876 Å, b = 3.876 Å, c = 5.493 Å, α = 90.00°, β = 90.00° and γ = 90.00°. The distinct sites, in fractional coordinates, are Cu at (0.000, 0.000, 0.000), Cu at (0.000, 0.500, 0.250), Ni at (0.500, 0.500, 0.500), B at (0.000, 0.000, 0.500) and B at (0.500, 0.500, 0.000).

=====

VASP calculation (GGA-PBE) on crystalline Cu2NiB at its relaxed geometry.

As for the total moment: 0.02 Bohr magnetons per cell. The electronic total energy comes out at -73.66 eV for the cell shown.

It has space group F-43m (No. 216), with a = 5.443 Å, b = 5.443 Å, c = 5.443 Å, α = 90.00°, β = 90.00° and γ = 90.00°. The distinct sites, in fractional coordinates, are Cu at (0.000, 0.000, 0.000), Cu at (0.250, 0.250, 0.250), Ni at (0.000, 0.000, 0.500) and B at (0.250, 0.250, 0.750).

=====

VASP calculation (GGA-PBE) on crystalline CuNiB4 at its relaxed geometry.

Its offset from the most stable computed form is 0 meV/atom. As for the total moment: 0.01 Bohr magnetons per cell. The electronic total energy comes out at -34.38 eV for the cell shown.

It has space group P6/mmm (No. 191), with a = 2.9727 Å, b = 2.9727 Å, c = 6.5127 Å, α = 90.00°, β = 90.00° and γ = 120.00°. The distinct sites, in fractional coordinates, are Cu at (0.0000, 0.0000, 0.0000), Ni at (0.0000, 0.0000, 0.5000) and B at (0.3333, 0.6667, 0.2647).

=====

Repeat the first record exactly.
VASP calculation (GGA-PBE) on crystalline NdCuB at its relaxed geometry.

As for the total moment: 0.37 Bohr magnetons per cell. The electronic total energy comes out at -57.85 eV for the cell shown.

It has space group F-43m (No. 216), with a = 5.984 Å, b = 5.984 Å, c = 5.984 Å, α = 90.00°, β = 90.00° and γ = 90.00°. The distinct sites, in fractional coordinates, are Nd at (0.000, 0.000, 0.000), Cu at (0.000, 0.000, 0.500) and B at (0.250, 0.250, 0.750).

=====

- Among the records above, which one has the highest total moment?
  number 4